Material: Tb2NpCuTe5
Method: DFT, PBE-GGA
State: optimized geometry

Unit cell a=4.2437 b=18.9746 c=12.9077 alpha=90.00 beta=90.00 gamma=90.00
With the nearest neighbours (Å) after each atom.
Space group Cmc2_1 (No. 36)
Unique sites:
Tb: 0.0000 0.1079 0.0000 (multiplicity 4)  8 Te 3.21-3.44
Tb: 0.0000 0.1229 0.6216 (multiplicity 4)  7 Te 3.15-3.43
Np: 0.0000 0.1942 0.3257 (multiplicity 4)  6 Te 2.99-3.14, 2 Cu 3.22
Cu: 0.0000 0.4291 0.7765 (multiplicity 4)  4 Te 2.59-2.65
Te: 0.0000 0.0419 0.3840 (multiplicity 4)  2 Cu 2.59
Te: 0.0000 0.2893 0.9948 (multiplicity 4)  2 Np 3.06, 2 Tb 3.16
Te: 0.0000 0.3173 0.6539 (multiplicity 4)  1 Cu 2.65
Te: 0.0000 0.3599 0.3166 (multiplicity 4)  1 Np 3.14, 4 Tb 3.24-3.31
Te: 0.0000 0.4989 0.1035 (multiplicity 4)  1 Cu 2.62

DFT total energy = -200.78 eV per cell
D(E_F) = 9.179 states/eV/f.u.
energy relative to the elements, uncorrected = -0.910 eV/atom